(one)
# PBE LiTeO, relaxed
# DOS(E_F) = 0.30 states/eV per atom
data_LiTeO
_chemical_formula_sum 'Li4 Te4 O4'
_cell_length_a 3.1442
_cell_length_b 11.0390
_cell_length_c 6.7074
_cell_angle_alpha 90.00
_cell_angle_beta 118.10
_cell_angle_gamma 90.00
_symmetry_space_group_name_H-M 'P 1'
_symmetry_Int_Tables_number 1
_symmetry_space_group_name_Hall 'P 1'
loop_
_atom_site_label
_atom_site_type_symbol
_atom_site_fract_x
_atom_site_fract_y
_atom_site_fract_z
Li1 Li 0.8734 0.7461 0.3469
Li2 Li 0.8734 0.2461 0.8469
Li3 Li 0.8734 0.7539 0.8469
Li4 Li 0.8734 0.2539 0.3469
O1 O 0.5495 0.3157 0.5224
O2 O 0.5495 0.8157 0.0224
O3 O 0.5495 0.6843 0.5224
O4 O 0.5495 0.1843 0.0224
Te1 Te 0.5560 0.5000 0.5310
Te2 Te 0.0519 0.0000 0.5308
Te3 Te 0.0519 0.5000 0.0308
Te4 Te 0.5560 0.0000 0.0310


(two)
# PBE LiTeO, relaxed
# DOS(E_F) = 0.00 states/eV per atom
data_LiTeO
_chemical_formula_sum 'Li2 Te2 O2'
_cell_length_a 4.5261
_cell_length_b 5.8148
_cell_length_c 5.8220
_cell_angle_alpha 115.94
_cell_angle_beta 99.90
_cell_angle_gamma 99.36
_symmetry_space_group_name_H-M 'P 1'
_symmetry_Int_Tables_number 1
_symmetry_space_group_name_Hall 'P 1'
loop_
_atom_site_label
_atom_site_type_symbol
_atom_site_fract_x
_atom_site_fract_y
_atom_site_fract_z
Li1 Li 0.9604 0.8743 0.5454
Li2 Li 0.9584 0.4874 0.9304
O1 O 0.8895 0.1191 0.8663
O2 O 0.8883 0.8086 0.1764
Te1 Te 0.7636 0.0966 0.1529
Te2 Te 0.2679 0.4952 0.5549


Verdict on stability: (one) comes out at the bottom.


(one)
# PBE LiTeO, relaxed
# DOS(E_F) = 0.21 states/eV per atom
data_LiTeO
_chemical_formula_sum 'Li2 Te2 O2'
_cell_length_a 3.1305
_cell_length_b 5.5793
_cell_length_c 7.7660
_cell_angle_alpha 111.02
_cell_angle_beta 96.63
_cell_angle_gamma 96.58
_symmetry_space_group_name_H-M 'P 1'
_symmetry_Int_Tables_number 1
_symmetry_space_group_name_Hall 'P 1'
loop_
_atom_site_label
_atom_site_type_symbol
_atom_site_fract_x
_atom_site_fract_y
_atom_site_fract_z
Te1 Te 0.5167 0.7353 0.7823
Te2 Te 0.2751 0.0987 0.5258
O1 O 0.3298 0.1939 0.3114
O2 O 0.0171 0.7560 0.3393
Li1 Li 0.4786 0.5489 0.3438
Li2 Li 0.7565 0.9678 0.1761


(two)
Computed, not measured: LiTeO after structural relaxation at the PBE level of DFT.

Structure (CIF):
```
data_LiTeO
_chemical_formula_sum 'Li2 Te2 O2'
_cell_length_a 3.8117
_cell_length_b 4.9383
_cell_length_c 6.3687
_cell_angle_alpha 99.09
_cell_angle_beta 95.80
_cell_angle_gamma 90.31
_symmetry_space_group_name_H-M 'P 1'
_symmetry_Int_Tables_number 1
_symmetry_space_group_name_Hall 'P 1'
loop_
_atom_site_label
_atom_site_type_symbol
_atom_site_fract_x
_atom_site_fract_y
_atom_site_fract_z
Li1 Li 0.2432 0.0118 0.2307
Li2 Li 0.4316 0.5452 0.0191
O1 O 0.9271 0.7381 0.0244
O2 O 0.4596 0.1593 0.0076
Te1 Te 0.3164 0.6338 0.5294
Te2 Te 0.8002 0.9796 0.8204
```


(three)
# PBE LiTeO, relaxed
# DOS(E_F) = 0.25 states/eV per atom
data_LiTeO
_chemical_formula_sum 'Li2 Te2 O2'
_cell_length_a 4.9934
_cell_length_b 3.9215
_cell_length_c 5.2667
_cell_angle_alpha 90.00
_cell_angle_beta 97.29
_cell_angle_gamma 90.00
_symmetry_space_group_name_H-M 'P 1'
_symmetry_Int_Tables_number 1
_symmetry_space_group_name_Hall 'P 1'
loop_
_atom_site_label
_atom_site_type_symbol
_atom_site_fract_x
_atom_site_fract_y
_atom_site_fract_z
Li1 Li 0.1824 0.2500 0.0284
Li2 Li 0.8176 0.7500 0.9716
O1 O 0.7961 0.2500 0.8624
O2 O 0.2039 0.7500 0.1376
Te1 Te 0.7439 0.2500 0.4811
Te2 Te 0.2561 0.7500 0.5189


(four)
# PBE LiTeO, relaxed
# DOS(E_F) = 0.27 states/eV per atom
data_LiTeO
_chemical_formula_sum 'Li2 Te2 O2'
_cell_length_a 3.4151
_cell_length_b 5.7816
_cell_length_c 6.2799
_cell_angle_alpha 108.57
_cell_angle_beta 90.35
_cell_angle_gamma 107.16
_symmetry_space_group_name_H-M 'P 1'
_symmetry_Int_Tables_number 1
_symmetry_space_group_name_Hall 'P 1'
loop_
_atom_site_label
_atom_site_type_symbol
_atom_site_fract_x
_atom_site_fract_y
_atom_site_fract_z
O1 O 0.9556 0.5947 0.6961
O2 O 0.6422 0.9714 0.5527
Li1 Li 0.0219 0.7288 0.4366
Li2 Li 0.5822 0.8384 0.8132
Te1 Te 0.4747 0.2831 0.6238
Te2 Te 0.3913 0.2831 0.1235


Verdict on stability: (three) comes out at the bottom.


(one)
# PBE LiTeO, relaxed
# DOS(E_F) = 0.36 states/eV per atom
data_LiTeO
_chemical_formula_sum 'Li2 Te2 O2'
_cell_length_a 3.0131
_cell_length_b 3.7704
_cell_length_c 9.3217
_cell_angle_alpha 71.58
_cell_angle_beta 90.00
_cell_angle_gamma 113.55
_symmetry_space_group_name_H-M 'P 1'
_symmetry_Int_Tables_number 1
_symmetry_space_group_name_Hall 'P 1'
loop_
_atom_site_label
_atom_site_type_symbol
_atom_site_fract_x
_atom_site_fract_y
_atom_site_fract_z
Te1 Te 0.5495 0.0989 0.6497
Te2 Te 0.4505 0.9011 0.3503
O1 O 0.0847 0.1694 0.1395
O2 O 0.9153 0.8306 0.8605
Li1 Li 0.1852 0.3704 0.9108
Li2 Li 0.8148 0.6296 0.0892


(two)
# PBE LiTeO, relaxed
# DOS(E_F) = 0.52 states/eV per atom
data_LiTeO
_chemical_formula_sum 'Li2 Te2 O2'
_cell_length_a 3.1585
_cell_length_b 5.4258
_cell_length_c 7.5648
_cell_angle_alpha 93.33
_cell_angle_beta 99.09
_cell_angle_gamma 104.64
_symmetry_space_group_name_H-M 'P 1'
_symmetry_Int_Tables_number 1
_symmetry_space_group_name_Hall 'P 1'
loop_
_atom_site_label
_atom_site_type_symbol
_atom_site_fract_x
_atom_site_fract_y
_atom_site_fract_z
Li1 Li 0.0180 0.8577 0.2961
Li2 Li 0.6582 0.2484 0.1122
Te1 Te 0.7218 0.6953 0.9040
Te2 Te 0.3971 0.4190 0.4980
O1 O 0.5074 0.7399 0.4066
O2 O 0.2013 0.2178 0.2617


(three)
# PBE LiTeO, relaxed
# DOS(E_F) = 0.14 states/eV per atom
data_LiTeO
_chemical_formula_sum 'Li1 Te1 O1'
_cell_length_a 3.1509
_cell_length_b 3.3571
_cell_length_c 5.0334
_cell_angle_alpha 88.71
_cell_angle_beta 87.77
_cell_angle_gamma 72.12
_symmetry_space_group_name_H-M 'P 1'
_symmetry_Int_Tables_number 1
_symmetry_space_group_name_Hall 'P 1'
loop_
_atom_site_label
_atom_site_type_symbol
_atom_site_fract_x
_atom_site_fract_y
_atom_site_fract_z
O1 O 0.8047 0.5088 0.6897
Te1 Te 0.7846 0.4770 0.0927
Li1 Li 0.1754 0.8916 0.6247


(four)
Computed, not measured: LiTeO after structural relaxation at the PBE level of DFT.

Structure (CIF):
```
data_LiTeO
_chemical_formula_sum 'Li2 Te2 O2'
_cell_length_a 4.0122
_cell_length_b 5.7351
_cell_length_c 5.8464
_cell_angle_alpha 75.37
_cell_angle_beta 71.22
_cell_angle_gamma 89.95
_symmetry_space_group_name_H-M 'P 1'
_symmetry_Int_Tables_number 1
_symmetry_space_group_name_Hall 'P 1'
loop_
_atom_site_label
_atom_site_type_symbol
_atom_site_fract_x
_atom_site_fract_y
_atom_site_fract_z
Te1 Te 0.1262 0.7103 0.2350
Te2 Te 0.5399 0.4286 0.6211
O1 O 0.8525 0.8862 0.0397
O2 O 0.1396 0.9813 0.3689
Li1 Li 0.6522 0.0967 0.2649
Li2 Li 0.9616 0.0158 0.6968
```


Verdict on stability: (one) comes out at the bottom.


(one)
# PBE LiTeO, relaxed
# DOS(E_F) = 0.00 states/eV per atom
data_LiTeO
_chemical_formula_sum 'Li4 Te4 O4'
_cell_length_a 4.5274
_cell_length_b 9.4963
_cell_length_c 6.1353
_cell_angle_alpha 90.00
_cell_angle_beta 96.38
_cell_angle_gamma 90.00
_symmetry_space_group_name_H-M 'P 1'
_symmetry_Int_Tables_number 1
_symmetry_space_group_name_Hall 'P 1'
loop_
_atom_site_label
_atom_site_type_symbol
_atom_site_fract_x
_atom_site_fract_y
_atom_site_fract_z
Te1 Te 0.9188 0.5000 0.6142
Te2 Te 0.9188 0.0000 0.1142
Te3 Te 0.1422 0.0000 0.5547
Te4 Te 0.1422 0.5000 0.0547
O1 O 0.4131 0.8480 0.5452
O2 O 0.4131 0.1520 0.5452
O3 O 0.4131 0.6520 0.0452
O4 O 0.4131 0.3480 0.0452
Li1 Li 0.4674 0.6950 0.7433
Li2 Li 0.4674 0.3050 0.7433
Li3 Li 0.4674 0.1950 0.2433
Li4 Li 0.4674 0.8050 0.2433


(two)
# PBE LiTeO, relaxed
# DOS(E_F) = 0.41 states/eV per atom
data_LiTeO
_chemical_formula_sum 'Li2 Te2 O2'
_cell_length_a 5.6120
_cell_length_b 3.3777
_cell_length_c 5.8299
_cell_angle_alpha 90.00
_cell_angle_beta 110.20
_cell_angle_gamma 90.00
_symmetry_space_group_name_H-M 'P 1'
_symmetry_Int_Tables_number 1
_symmetry_space_group_name_Hall 'P 1'
loop_
_atom_site_label
_atom_site_type_symbol
_atom_site_fract_x
_atom_site_fract_y
_atom_site_fract_z
Te1 Te 0.6432 0.5000 0.2156
Te2 Te 0.6432 0.0000 0.7156
Li1 Li 0.0977 0.5000 0.7011
Li2 Li 0.0977 0.0000 0.2011
O1 O 0.0237 0.0000 0.8423
O2 O 0.0237 0.5000 0.3423


Verdict on stability: (two) comes out at the bottom.